Entry 1:
The following is a PBE calculation of an optimized crystal structure of Cs2RbZnCl, from Alexandria.

Lattice parameters (Å, degrees): 6.8307 6.8307 6.4448 90.00 90.00 90.00
Last column: nearest neighbours and their distance in Å.
Space group P4/mmm (No. 123)
Symmetry-distinct sites (fractional):
Cs: 0.0000 0.5000 0.0000 x2  2 Cl 3.42
Rb: 0.0000 0.0000 0.5000 x1  2 Cl 3.22
Zn: 0.5000 0.5000 0.5000 x1  8 Cs 4.70, 4 Rb 4.83
Cl: 0.0000 0.0000 0.0000 x1  2 Rb 3.22, 4 Cs 3.42

Total magnetization, μB/cell: 0.00
Fermi-level density of states, states/eV/cell: 3.95
Calculated volume, Å³ per atom: 60.14
Formation energy from raw total energies, eV/atom: -0.5964

=====

Entry 2:
The following is a PBE calculation of an optimized crystal structure of Ce2ErSn, from Alexandria.

Lattice parameters (Å, degrees): 4.4397 4.3519 11.4671 90.00 100.01 90.00
Last column: nearest neighbours and their distance in Å.
Space group P2_1/m (No. 11)
Symmetry-distinct sites (fractional):
Ce: 0.0030 0.2500 0.1185 x2  2 Ce 2.81
Ce: 0.3982 0.2500 0.8837 x2  2 Ce 2.81
Er: 0.3053 0.7500 0.6104 x2  5 Sn 3.11-3.19
Sn: 0.1765 0.7500 0.3347 x2  5 Er 3.11-3.19, 4 Ce 3.25-3.39

Total magnetization, μB/cell: 0.00
Energy of formation, meV/atom: -396
Fermi-level density of states, states/eV/cell: 14.58
Calculated volume, Å³ per atom: 27.27

=====

Entry 3:
The following is a PBE calculation of an optimized crystal structure of LiP2PtS, from Alexandria.

Lattice parameters (Å, degrees): 4.5741 4.5741 5.3481 90.00 90.00 90.00
Last column: nearest neighbours and their distance in Å.
Space group P4/mmm (No. 123)
Symmetry-distinct sites (fractional):
Li: 0.0000 0.0000 0.0000 x1  4 S 3.23, 8 P 3.52
P: 0.0000 0.5000 0.5000 x2  2 Pt 2.29
Pt: 0.5000 0.5000 0.5000 x1  4 P 2.29
S: 0.5000 0.5000 0.0000 x1  2 Pt 2.67

Total magnetization, μB/cell: 0.00
Fermi-level density of states, states/eV/cell: 2.77
Calculated volume, Å³ per atom: 22.38
Formation energy from raw total energies, eV/atom: 0.3628